Te2IrPb: optimized geometry, PBE.

Summary:
SG: R-3m (166)

a = 12.4468 Å, b = 12.4468 Å, c = 12.4468 Å
α = 14.63°, β = 14.63°, γ = 14.63°
Last column: nearest neighbours and their distance in Å.
Sites, in units of the cell vectors:
1 Te 0.0694 0.0694 0.0694  1 Ir 2.56
2 Pb 0.5000 0.5000 0.5000  6 Pb 3.17
3 Ir 0.0000 0.0000 0.0000  2 Te 2.56
4 Te 0.9306 0.9306 0.9306  1 Ir 2.56

Te2IrPb: optimized geometry, PBE.

Summary:
SG: Pmm2 (25)

a = 3.2699 Å, b = 3.4358 Å, c = 9.4826 Å
α = 90.00°, β = 90.00°, γ = 90.00°
Last column: nearest neighbours and their distance in Å.
Sites, in units of the cell vectors:
1 Pb 0.5000 0.5000 0.6993  4 Ir 3.19, 4 Pb 3.27-3.44, 1 Te 3.43
2 Te 0.0000 0.0000 0.9886  4 Te 3.27-3.44, 4 Pb 3.63
3 Te 0.5000 0.5000 0.3374  4 Ir 2.70
4 Ir 0.0000 0.0000 0.4746  4 Te 2.70

TeIrPb2: optimized geometry, PBE.

Summary:
SG: Immm (71)

a = 7.3637 Å, b = 7.3637 Å, c = 7.3637 Å
α = 151.94°, β = 144.86°, γ = 45.56°
Last column: nearest neighbours and their distance in Å.
Sites, in units of the cell vectors:
1 Ir 0.7500 0.2500 0.5000  4 Te 2.85, 4 Pb 2.93
2 Te 0.2500 0.7500 0.5000  4 Ir 2.85
3 Pb 0.9214 0.9214 0.0000  2 Ir 2.93, 2 Te 3.22
4 Pb 0.5786 0.5786 0.0000  2 Ir 2.93, 2 Te 3.22

Te2IrPb: optimized geometry, PBE.

Summary:
SG: Cmmm (65)

a = 5.2760 Å, b = 5.2760 Å, c = 3.4550 Å
α = 90.00°, β = 90.00°, γ = 89.95°
Last column: nearest neighbours and their distance in Å.
Sites, in units of the cell vectors:
1 Pb 0.0000 0.5000 0.5000  8 Te 3.15, 2 Pb 3.46
2 Ir 0.5000 0.0000 0.5000  8 Te 3.15, 2 Ir 3.46
3 Te 0.5000 0.5000 0.0000  4 Pb 3.15, 4 Ir 3.15, 2 Te 3.46
4 Te 0.0000 0.0000 0.0000  4 Ir 3.15, 4 Pb 3.15, 2 Te 3.46

Te2IrPb: optimized geometry, PBE.

Summary:
SG: Cmmm (65)

a = 3.9807 Å, b = 5.3967 Å, c = 5.3953 Å
α = 66.40°, β = 90.00°, γ = 90.00°
Last column: nearest neighbours and their distance in Å.
Sites, in units of the cell vectors:
1 Ir 0.5000 0.2500 0.2500  4 Te 2.65, 2 Pb 2.95
2 Pb 0.5000 0.7500 0.7500  2 Ir 2.95
3 Te 0.0000 0.0560 0.0561  2 Ir 2.65
4 Te 0.0000 0.4440 0.4439  2 Ir 2.65

Te2IrPb: optimized geometry, PBE.

Summary:
SG: Cmmm (65)

a = 3.4167 Å, b = 3.4167 Å, c = 8.5588 Å
α = 90.00°, β = 90.00°, γ = 91.25°
Last column: nearest neighbours and their distance in Å.
Sites, in units of the cell vectors:
1 Ir 0.5000 0.5000 0.2500  8 Te 2.88-2.92
2 Te 0.0000 0.0000 0.4373  4 Ir 2.88-2.92, 1 Te 3.21
3 Te 0.0000 0.0000 0.0627  4 Ir 2.88-2.92, 1 Te 3.21
4 Pb 0.5000 0.5000 0.7500  4 Pb 3.42, 8 Te 3.59-3.62

no.,calculated total energy (eV/cell)
1,-17.11
2,-18.31
3,-18.74
4,-16.93
5,-19.16
6,-17.81